1.
MgSbMo2 | PBEsol | relaxed

Spin magnetization, μB/f.u.: 0.00
ΔE_f (raw), eV/atom: 0.35
Uncorrected energy, eV per atom: -7.102
Distance to the lowest polymorph of the same formula, meV/atom: 0

Unit cell a=9.461 b=3.281 c=4.607 alpha=90.00 beta=103.92 gamma=90.00
Space group C2/m (No. 12)
One atom of each set of equivalent atoms:
Mg1 0.000 0.000 0.000 (multiplicity 2)
Sb1 0.000 0.500 0.500 (multiplicity 2)
Mo1 0.249 0.000 0.773 (multiplicity 4)



2.
MgSbMo2 | PBEsol | relaxed

Spin magnetization, μB/f.u.: 0.00
ΔE_f (raw), eV/atom: 0.38
Uncorrected energy, eV per atom: -7.069
Distance to the lowest polymorph of the same formula, meV/atom: 33

Unit cell a=3.935 b=3.935 c=8.802 alpha=90.00 beta=90.00 gamma=90.00
Space group I4/mmm (No. 139)
One atom of each set of equivalent atoms:
Mg1 0.000 0.000 0.000 (multiplicity 2)
Sb1 0.000 0.000 0.500 (multiplicity 2)
Mo1 0.000 0.500 0.250 (multiplicity 4)



3.
MgSb2Mo | PBEsol | relaxed

Spin magnetization, μB/f.u.: 0.00
ΔE_f (raw), eV/atom: 0.04
Uncorrected energy, eV per atom: -5.612

Unit cell a=3.5118 b=3.5118 c=24.3252 alpha=90.00 beta=90.00 gamma=120.00
Space group R-3m (No. 166, hexagonal axes)
One atom of each set of equivalent atoms:
Mg1 0.0000 0.0000 0.0000 (multiplicity 3)
Sb1 0.0000 0.0000 0.2418 (multiplicity 6)
Mo1 0.0000 0.0000 0.5000 (multiplicity 3)